## Sm2TmAl (PBE)

Data for a relaxed Sm2TmAl crystal.

a b c (Å): 4.805 4.797 4.797
angles (deg): 90.00 90.00 90.00
Atoms (fractional coordinates):
Tm1 0.500 0.500 0.500
Al1 0.500 0.000 0.000
Sm1 0.000 0.000 0.500
Sm2 0.000 0.500 0.000

Properties
* symmetry: P4/mmm, No. 123
* total energy: -4.59 eV per atom

=====

## Sm5TmAl6 (PBE)

Data for a relaxed Sm5TmAl6 crystal.

a b c (Å): 5.180 7.304 8.967
angles (deg): 65.96 73.19 90.00
Atoms (fractional coordinates):
Tm1 0.000 0.000 0.000
Al1 0.836 0.593 0.327
Al2 0.836 0.079 0.327
Al3 0.500 0.764 0.000
Al4 0.500 0.236 0.000
Al5 0.164 0.921 0.673
Al6 0.164 0.407 0.673
Sm1 0.671 0.171 0.658
Sm2 0.336 0.336 0.329
Sm3 0.000 0.500 0.000
Sm4 0.664 0.664 0.671
Sm5 0.329 0.829 0.342

Properties
* symmetry: Immm, No. 71
* total energy: -4.59 eV per atom

=====

## SmTm2Al (PBE)

Data for a relaxed SmTm2Al crystal.

a b c (Å): 3.498 3.498 8.943
angles (deg): 90.00 90.00 90.00
Atoms (fractional coordinates):
Tm1 0.000 0.000 0.789
Tm2 0.000 0.000 0.211
Al1 0.500 0.500 0.000
Sm1 0.500 0.500 0.500

Properties
* symmetry: P4/mmm, No. 123
* total energy: -4.55 eV per atom

=====

## SmTmAl2 (PBE)

Data for a relaxed SmTmAl2 crystal.

a b c (Å): 3.618 3.618 7.195
angles (deg): 90.00 90.00 90.00
Atoms (fractional coordinates):
Tm1 0.500 0.500 0.000
Al1 0.000 0.000 0.765
Al2 0.000 0.000 0.235
Sm1 0.500 0.500 0.500

Properties
* symmetry: P4/mmm, No. 123
* total energy: -4.55 eV per atom